The following is a PBE-GGA calculation of a geometry-optimized BaNiN structure, from Alexandria via LeMat-Bulk.

abc: 4.120 4.805 6.449
angles: 103.69 104.11 98.62
Sites, in units of the cell vectors:
Ba 0.174 0.383 0.224
Ba 0.826 0.617 0.776
Ni 0.300 0.018 0.624
Ni 0.700 0.982 0.376
N 0.487 0.078 0.929
N 0.513 0.922 0.071

Magnetic moment, μB per atom: 0.00
Space-group type: P-1 (2)
Raw total energy, eV/cell: -32.68
Raw formation energy, eV per atom: -0.1027

=====

The following is a PBE-GGA calculation of a geometry-optimized Sc2CdCu structure, from Alexandria via LeMat-Bulk.

abc: 10.645 10.645 10.645
angles: 16.68 16.68 16.68
Sites, in units of the cell vectors:
Sc 0.084 0.084 0.084
Sc 0.916 0.916 0.916
Cd 0.500 0.500 0.500
Cu 0.000 0.000 0.000

Magnetic moment, μB per atom: 0.00
Space-group type: R-3m (166)
Raw total energy, eV/cell: -16.44

=====

The following is a PBE-GGA calculation of a geometry-optimized InSeSCl2 structure, from Alexandria via LeMat-Bulk.

abc: 5.151 5.151 4.938
angles: 90.00 90.00 90.00
Sites, in units of the cell vectors:
In 0.000 0.000 0.000
Se 0.500 0.500 0.500
S 0.500 0.500 0.000
Cl 0.000 0.500 0.500
Cl 0.500 0.000 0.500

Magnetic moment, μB per atom: 0.00
Space-group type: P4/mmm (123)
Raw total energy, eV/cell: -14.60
Raw formation energy, eV per atom: -0.1119

=====

The following is a PBE-GGA calculation of a geometry-optimized TiAlVTcRh structure, from Alexandria via LeMat-Bulk.

abc: 4.450 4.450 4.976
angles: 116.67 116.67 59.97
Sites, in units of the cell vectors:
Ti 0.000 0.000 0.000
Al 0.594 0.594 0.782
V 0.196 0.196 0.588
Tc 0.380 0.380 0.139
Rh 0.808 0.808 0.424

Magnetic moment, μB per atom: 0.00
Space-group type: Cm (8)
Raw total energy, eV/cell: -40.36

=====

The following is a PBE-GGA calculation of a geometry-optimized La6Tl2Zn structure, from Alexandria via LeMat-Bulk.

abc: 8.574 8.574 4.634
angles: 90.00 90.00 120.00
Sites, in units of the cell vectors:
La 0.000 0.417 0.000
La 0.000 0.752 0.500
La 0.248 0.248 0.500
La 0.417 0.000 0.000
La 0.583 0.583 0.000
La 0.752 0.000 0.500
Tl 0.333 0.667 0.500
Tl 0.667 0.333 0.500
Zn 0.000 0.000 0.000

Magnetic moment, μB per atom: 0.00
Space-group type: P-62m (189)
Raw total energy, eV/cell: -37.87

=====

The following is a PBE-GGA calculation of a geometry-optimized CrTeHRhAu2 structure, from Alexandria via LeMat-Bulk.

abc: 4.839 4.839 7.084
angles: 119.18 119.18 42.69
Sites, in units of the cell vectors:
Cr 0.000 0.000 0.000
Te 0.435 0.435 0.647
H 0.378 0.378 0.026
Rh 0.200 0.200 0.770
Au 0.589 0.589 0.372
Au 0.776 0.776 0.158

Magnetic moment, μB per atom: 0.61
Space-group type: Cm (8)
Raw total energy, eV/cell: -29.27